# 1
La2PtSe: optimized geometry, GGA-PBE.

```
4
Lattice="-2.2923 2.9721 3.8484 2.2923 -2.9721 3.8484 2.2923 2.9721 -3.8484" Properties=species:S:1:pos:R:3 pbc="T T T"
La 0.0000 0.0000 1.8679
La 0.0000 0.0000 5.8288
Pt 2.2923 0.0000 0.0000
Se 0.0000 2.9721 0.0000
```

- SG: Immm (71)
- Total magnetization: 0.0 Bohr magnetons per cell
- DFT total energy: -6.132 eV/atom


# 2
LaPtSe2: optimized geometry, GGA-PBE.

```
4
Lattice="2.1165 -3.2891 0.0000 2.1165 3.2891 0.0000 0.0000 0.0000 6.9928" Properties=species:S:1:pos:R:3 pbc="T T T"
La 0.0000 0.0000 0.0000
Pt 0.0000 0.0000 3.4964
Se 2.1165 0.0000 1.9503
Se 2.1165 0.0000 5.0425
```

- SG: Cmmm (65)
- Total magnetization: 0.0 Bohr magnetons per cell
- DFT total energy: -5.225 eV/atom
- Energy above the most stable polymorph in this dataset: 451.8 meV/atom


# 3
LaPt3Se: optimized geometry, GGA-PBE.

```
5
Lattice="5.2041 0.0000 0.0000 0.0000 5.2041 0.0000 0.0000 0.0000 5.2041" Properties=species:S:1:pos:R:3 pbc="T T T"
La 0.0000 0.0000 0.0000
Pt 0.0000 0.0000 2.6020
Pt 0.0000 2.6020 0.0000
Pt 2.6020 0.0000 0.0000
Se 2.6020 2.6020 2.6020
```

- SG: Pm-3m (221)
- Total magnetization: 0.0 Bohr magnetons per cell
- DFT total energy: -4.253 eV/atom
- Energy above the most stable polymorph in this dataset: 1427.5 meV/atom


# 4
LaPtSe2: optimized geometry, GGA-PBE.

```
4
Lattice="-1.8670 1.9266 7.0624 1.8670 -1.9266 7.0624 1.8670 1.9266 -7.0624" Properties=species:S:1:pos:R:3 pbc="T T T"
La 0.0000 0.0000 0.0000
Pt 1.8670 0.0000 2.6219
Se 0.0000 0.0000 5.7796
Se 0.0000 1.9266 2.4092
```

- SG: Imm2 (44)
- Total magnetization: 0.0 Bohr magnetons per cell
- DFT total energy: -5.529 eV/atom
- Energy above the most stable polymorph in this dataset: 147.9 meV/atom


| no. | E_form (uncorrected) (meV/atom) |
| --- | --- |
| 1 | -1287 |
| 2 | -741 |
| 3 | 1054 |
| 4 | -1045 |